[1]
# NbAsN2O | Alexandria | SCAN | single point on PBEsol structure
# **Electronic total energy**: -78.1 eV/cell
# **Formation energy (no corrections)**: 1 kJ per mole of atoms
data_NbAsN2O
_space_group_name_H-M_alt 'P 4/m m m'
_space_group_IT_number 123
_space_group_name_Hall '-P 4 2'
_cell_length_a 4.1220
_cell_length_b 4.1220
_cell_length_c 3.8401
_cell_angle_alpha 90.00
_cell_angle_beta 90.00
_cell_angle_gamma 90.00
loop_
_atom_site_label
_atom_site_type_symbol
_atom_site_fract_x
_atom_site_fract_y
_atom_site_fract_z
Nb1 Nb 0.0000 0.0000 0.0000
As1 As 0.5000 0.5000 0.5000
N1 N 0.0000 0.5000 0.0000
O1 O 0.0000 0.0000 0.5000



[2]
# NiAs3N | Alexandria | SCAN | single point on PBEsol structure
# **Electronic total energy**: -78.7 eV/cell
# **Formation energy (no corrections)**: 141 kJ per mole of atoms
data_NiAs3N
_space_group_name_H-M_alt 'P m -3 m'
_space_group_IT_number 221
_space_group_name_Hall '-P 4 2 3'
_cell_length_a 4.4426
_cell_length_b 4.4426
_cell_length_c 4.4426
_cell_angle_alpha 90.00
_cell_angle_beta 90.00
_cell_angle_gamma 90.00
loop_
_atom_site_label
_atom_site_type_symbol
_atom_site_fract_x
_atom_site_fract_y
_atom_site_fract_z
Ni1 Ni 0.0000 0.0000 0.0000
As1 As 0.0000 0.0000 0.5000
N1 N 0.5000 0.5000 0.5000



[3]
# NiAsSN2 | Alexandria | SCAN | single point on PBEsol structure
# **Electronic total energy**: -58.9 eV/cell
# **Formation energy (no corrections)**: 109 kJ per mole of atoms
data_NiAsSN2
_space_group_name_H-M_alt 'P 4/m m m'
_space_group_IT_number 123
_space_group_name_Hall '-P 4 2'
_cell_length_a 3.6547
_cell_length_b 3.6547
_cell_length_c 4.6745
_cell_angle_alpha 90.00
_cell_angle_beta 90.00
_cell_angle_gamma 90.00
loop_
_atom_site_label
_atom_site_type_symbol
_atom_site_fract_x
_atom_site_fract_y
_atom_site_fract_z
Ni1 Ni 0.0000 0.0000 0.0000
As1 As 0.5000 0.5000 0.5000
S1 S 0.0000 0.0000 0.5000
N1 N 0.0000 0.5000 0.0000



[4]
# AsPdN2O | Alexandria | SCAN | single point on PBEsol structure
# **Electronic total energy**: -70.9 eV/cell
# **Formation energy (no corrections)**: 133 kJ per mole of atoms
data_AsPdN2O
_space_group_name_H-M_alt 'P 4/m m m'
_space_group_IT_number 123
_space_group_name_Hall '-P 4 2'
_cell_length_a 3.8404
_cell_length_b 3.8404
_cell_length_c 3.9109
_cell_angle_alpha 90.00
_cell_angle_beta 90.00
_cell_angle_gamma 90.00
loop_
_atom_site_label
_atom_site_type_symbol
_atom_site_fract_x
_atom_site_fract_y
_atom_site_fract_z
As1 As 0.0000 0.0000 0.0000
Pd1 Pd 0.5000 0.5000 0.5000
N1 N 0.0000 0.5000 0.5000
O1 O 0.5000 0.5000 0.0000



[5]
# SbAsN2O | Alexandria | SCAN | single point on PBEsol structure
# **Electronic total energy**: -78.3 eV/cell
# **Formation energy (no corrections)**: 76 kJ per mole of atoms
data_SbAsN2O
_space_group_name_H-M_alt 'P 4/m m m'
_space_group_IT_number 123
_space_group_name_Hall '-P 4 2'
_cell_length_a 4.0359
_cell_length_b 4.0359
_cell_length_c 3.8387
_cell_angle_alpha 90.00
_cell_angle_beta 90.00
_cell_angle_gamma 90.00
loop_
_atom_site_label
_atom_site_type_symbol
_atom_site_fract_x
_atom_site_fract_y
_atom_site_fract_z
Sb1 Sb 0.0000 0.0000 0.0000
As1 As 0.5000 0.5000 0.5000
N1 N 0.0000 0.5000 0.0000
O1 O 0.0000 0.0000 0.5000



[6]
# As2OsN | Alexandria | SCAN | single point on PBEsol structure
# **Electronic total energy**: -476.5 eV/cell
# **Formation energy (no corrections)**: 58 kJ per mole of atoms
data_As2OsN
_space_group_name_H-M_alt 'I -4 2 d'
_space_group_IT_number 122
_space_group_name_Hall 'I -4 2bw'
_cell_length_a 5.2244
_cell_length_b 5.2244
_cell_length_c 9.4119
_cell_angle_alpha 90.00
_cell_angle_beta 90.00
_cell_angle_gamma 90.00
loop_
_atom_site_label
_atom_site_type_symbol
_atom_site_fract_x
_atom_site_fract_y
_atom_site_fract_z
As1 As 0.2053 0.2500 0.1250
Os1 Os 0.0000 0.0000 0.5000
N1 N 0.0000 0.0000 0.0000



[7]
# AsOsSN2 | Alexandria | SCAN | single point on PBEsol structure
# **Electronic total energy**: -116.0 eV/cell
# **Formation energy (no corrections)**: 83 kJ per mole of atoms
data_AsOsSN2
_space_group_name_H-M_alt 'P 4/m m m'
_space_group_IT_number 123
_space_group_name_Hall '-P 4 2'
_cell_length_a 3.7691
_cell_length_b 3.7691
_cell_length_c 5.0231
_cell_angle_alpha 90.00
_cell_angle_beta 90.00
_cell_angle_gamma 90.00
loop_
_atom_site_label
_atom_site_type_symbol
_atom_site_fract_x
_atom_site_fract_y
_atom_site_fract_z
As1 As 0.0000 0.0000 0.0000
Os1 Os 0.5000 0.5000 0.5000
S1 S 0.5000 0.5000 0.0000
N1 N 0.0000 0.5000 0.5000



[8]
# AsOsSe2N | Alexandria | SCAN | single point on PBEsol structure
# **Energy above the most stable polymorph in this dataset**: 761 meV per atom
# **Electronic total energy**: -134.9 eV/cell
# **Formation energy (no corrections)**: 129 kJ per mole of atoms
data_AsOsSe2N
_space_group_name_H-M_alt 'P 4/m m m'
_space_group_IT_number 123
_space_group_name_Hall '-P 4 2'
_cell_length_a 4.1582
_cell_length_b 4.1582
_cell_length_c 4.2166
_cell_angle_alpha 90.00
_cell_angle_beta 90.00
_cell_angle_gamma 90.00
loop_
_atom_site_label
_atom_site_type_symbol
_atom_site_fract_x
_atom_site_fract_y
_atom_site_fract_z
As1 As 0.0000 0.0000 0.0000
Os1 Os 0.5000 0.5000 0.0000
Se1 Se 0.0000 0.5000 0.5000
N1 N 0.0000 0.0000 0.5000



[9]
# AsOsSe2N | Alexandria | SCAN | single point on PBEsol structure
# **Energy above the most stable polymorph in this dataset**: 0 meV per atom
# **Electronic total energy**: -138.7 eV/cell
# **Formation energy (no corrections)**: 55 kJ per mole of atoms
data_AsOsSe2N
_space_group_name_H-M_alt 'P 4/m m m'
_space_group_IT_number 123
_space_group_name_Hall '-P 4 2'
_cell_length_a 4.9971
_cell_length_b 4.9971
_cell_length_c 3.6508
_cell_angle_alpha 90.00
_cell_angle_beta 90.00
_cell_angle_gamma 90.00
loop_
_atom_site_label
_atom_site_type_symbol
_atom_site_fract_x
_atom_site_fract_y
_atom_site_fract_z
As1 As 0.0000 0.0000 0.0000
Os1 Os 0.5000 0.5000 0.5000
Se1 Se 0.0000 0.5000 0.5000
N1 N 0.5000 0.5000 0.0000



[10]
# SnAsOs2N | Alexandria | SCAN | single point on PBEsol structure
# **Electronic total energy**: -196.3 eV/cell
# **Formation energy (no corrections)**: 248 kJ per mole of atoms
data_SnAsOs2N
_space_group_name_H-M_alt 'P 4/m m m'
_space_group_IT_number 123
_space_group_name_Hall '-P 4 2'
_cell_length_a 4.9268
_cell_length_b 4.9268
_cell_length_c 3.8480
_cell_angle_alpha 90.00
_cell_angle_beta 90.00
_cell_angle_gamma 90.00
loop_
_atom_site_label
_atom_site_type_symbol
_atom_site_fract_x
_atom_site_fract_y
_atom_site_fract_z
Sn1 Sn 0.0000 0.0000 0.0000
As1 As 0.5000 0.5000 0.5000
Os1 Os 0.0000 0.5000 0.0000
N1 N 0.0000 0.0000 0.5000



[11]
# AsP2N | Alexandria | SCAN | single point on PBEsol structure
# **Electronic total energy**: -188.9 eV/cell
# **Formation energy (no corrections)**: 74 kJ per mole of atoms
data_AsP2N
_space_group_name_H-M_alt 'I -4 2 d'
_space_group_IT_number 122
_space_group_name_Hall 'I -4 2bw'
_cell_length_a 4.4870
_cell_length_b 4.4870
_cell_length_c 11.8857
_cell_angle_alpha 90.00
_cell_angle_beta 90.00
_cell_angle_gamma 90.00
loop_
_atom_site_label
_atom_site_type_symbol
_atom_site_fract_x
_atom_site_fract_y
_atom_site_fract_z
As1 As 0.0000 0.0000 0.0000
P1 P 0.1326 0.2500 0.6250
N1 N 0.0000 0.0000 0.5000



[12]
# AsPN2 | Alexandria | SCAN | single point on PBEsol structure
# **Electronic total energy**: -167.2 eV/cell
# **Formation energy (no corrections)**: 178 kJ per mole of atoms
data_AsPN2
_space_group_name_H-M_alt 'F m -3 m'
_space_group_IT_number 225
_space_group_name_Hall '-F 4 2 3'
_cell_length_a 5.4568
_cell_length_b 5.4568
_cell_length_c 5.4568
_cell_angle_alpha 90.00
_cell_angle_beta 90.00
_cell_angle_gamma 90.00
loop_
_atom_site_label
_atom_site_type_symbol
_atom_site_fract_x
_atom_site_fract_y
_atom_site_fract_z
As1 As 0.0000 0.0000 0.0000
P1 P 0.0000 0.0000 0.5000
N1 N 0.2500 0.2500 0.2500